MnCr2In: optimized geometry, GGA-PBE.

Values from the calculation:
ρ: 7.590 Mg/m³
calculated formation energy: 0.705 eV/atom
SG: I-42d
crystal system: tetragonal
total DFT energy (no corrections): -0.2603 Ha/atom

Lattice parameters (Å, degrees): 5.465 5.465 5.465 102.90 102.90 123.61
Fractional coordinates of all 8 atoms:
Mn 0.000 0.000 0.000
Mn 0.750 0.250 0.500
Cr 0.057 0.125 0.432
Cr 0.375 0.943 0.068
Cr 0.693 0.625 0.568
Cr 0.875 0.307 0.932
In 0.250 0.750 0.500
In 0.500 0.500 0.000

---

Mn2CrIn: optimized geometry, GGA-PBE.

Values from the calculation:
ρ: 7.327 Mg/m³
calculated formation energy: 0.298 eV/atom
SG: F-43m
crystal system: cubic
total DFT energy (no corrections): -0.2711 Ha/atom

Lattice parameters (Å, degrees): 4.459 4.459 4.459 60.00 60.00 60.00
Fractional coordinates of all 4 atoms:
Mn 0.000 0.000 0.000
Mn 0.250 0.250 0.250
Cr 0.500 0.500 0.500
In 0.750 0.750 0.750

---

Mn2CrIn: optimized geometry, GGA-PBE.

Values from the calculation:
ρ: 6.552 Mg/m³
calculated formation energy: 0.724 eV/atom
SG: I-42d
crystal system: tetragonal
total DFT energy (no corrections): -0.2555 Ha/atom

Lattice parameters (Å, degrees): 9.553 9.553 9.553 156.34 156.34 33.70
Fractional coordinates of all 8 atoms:
Mn 0.115 0.625 0.990
Mn 0.375 0.365 0.490
Mn 0.635 0.125 0.010
Mn 0.875 0.885 0.510
Cr 0.000 0.000 0.000
Cr 0.750 0.250 0.500
In 0.250 0.750 0.500
In 0.500 0.500 0.000

---

Mn2CrIn: optimized geometry, GGA-PBE.

Values from the calculation:
ρ: 7.561 Mg/m³
calculated formation energy: 0.233 eV/atom
SG: P4mm
crystal system: tetragonal
total DFT energy (no corrections): -0.2735 Ha/atom

Lattice parameters (Å, degrees): 3.006 3.006 6.725 90.00 90.00 90.00
Fractional coordinates of all 4 atoms:
Mn 0.000 0.000 0.000
Mn 0.500 0.500 0.218
Cr 0.000 0.000 0.414
In 0.500 0.500 0.711

---

MnCr2In: optimized geometry, GGA-PBE.

Values from the calculation:
ρ: 7.623 Mg/m³
calculated formation energy: 0.200 eV/atom
SG: P4mm
crystal system: tetragonal
total DFT energy (no corrections): -0.2789 Ha/atom

Lattice parameters (Å, degrees): 2.981 2.981 6.711 90.00 90.00 90.00
Fractional coordinates of all 4 atoms:
Mn 0.000 0.000 0.000
Cr 0.000 0.000 0.589
Cr 0.500 0.500 0.786
In 0.500 0.500 0.291

---

MnCr2In: optimized geometry, GGA-PBE.

Values from the calculation:
ρ: 7.281 Mg/m³
calculated formation energy: 0.360 eV/atom
SG: P4/mmm
crystal system: tetragonal
total DFT energy (no corrections): -0.2730 Ha/atom

Lattice parameters (Å, degrees): 4.329 4.329 3.332 90.00 90.00 90.00
Fractional coordinates of all 4 atoms:
Mn 0.000 0.000 0.000
Cr 0.000 0.500 0.500
Cr 0.500 0.000 0.500
In 0.500 0.500 0.000

---

MnCr2InN: optimized geometry, GGA-PBE.

Values from the calculation:
ρ: 7.614 Mg/m³
formation energy from raw total energies: -128.8 meV/atom
SG: P4/mmm
crystal system: tetragonal
total DFT energy (no corrections): -0.2949 Ha/atom

Lattice parameters (Å, degrees): 3.970 3.970 3.982 90.00 90.00 90.00
Fractional coordinates of all 5 atoms:
Mn 0.000 0.000 0.000
Cr 0.000 0.500 0.500
Cr 0.500 0.000 0.500
In 0.500 0.500 0.000
N 0.000 0.000 0.500

---

Mn2Cr2InS6: optimized geometry, GGA-PBE.

Values from the calculation:
ρ: 4.310 Mg/m³
formation energy from raw total energies: -533.2 meV/atom
SG: C2/m
crystal system: monoclinic
total DFT energy (no corrections): -0.2370 Ha/atom

Lattice parameters (Å, degrees): 6.343 6.343 6.213 99.35 99.35 121.61
Fractional coordinates of all 11 atoms:
Mn 0.163 0.837 0.000
Mn 0.837 0.163 0.000
Cr 0.336 0.664 0.500
Cr 0.664 0.336 0.500
In 0.000 0.000 0.500
S 0.061 0.428 0.737
S 0.267 0.267 0.251
S 0.428 0.061 0.737
S 0.572 0.939 0.263
S 0.733 0.733 0.749
S 0.939 0.572 0.263

---

MnCrIn2Se: optimized geometry, GGA-PBE.

Values from the calculation:
ρ: 5.652 Mg/m³
formation energy from raw total energies: 530.2 meV/atom
SG: P4/mmm
crystal system: tetragonal
total DFT energy (no corrections): -0.1845 Ha/atom

Lattice parameters (Å, degrees): 5.166 5.166 4.575 90.00 90.00 90.00
Fractional coordinates of all 5 atoms:
Mn 0.000 0.000 0.000
Cr 0.500 0.500 0.500
In 0.000 0.500 0.000
In 0.500 0.000 0.000
Se 0.000 0.000 0.500

---

TiMnCrIn2: optimized geometry, GGA-PBE.

Values from the calculation:
ρ: 6.205 Mg/m³
calculated formation energy: 0.974 eV/atom
SG: P4/mmm
crystal system: tetragonal
total DFT energy (no corrections): -0.2006 Ha/atom

Lattice parameters (Å, degrees): 4.956 4.956 4.189 90.00 90.00 90.00
Fractional coordinates of all 5 atoms:
Ti 0.000 0.000 0.000
Mn 0.000 0.000 0.500
Cr 0.500 0.500 0.000
In 0.000 0.500 0.500
In 0.500 0.000 0.500

---

MnVCr2In: optimized geometry, GGA-PBE.

Values from the calculation:
ρ: 4.726 Mg/m³
calculated formation energy: 2.226 eV/atom
SG: P4/mmm
crystal system: tetragonal
total DFT energy (no corrections): -0.2142 Ha/atom

Lattice parameters (Å, degrees): 4.904 4.904 4.744 90.00 90.00 90.00
Fractional coordinates of all 5 atoms:
Mn 0.000 0.000 0.000
V 0.500 0.500 0.000
Cr 0.000 0.500 0.500
Cr 0.500 0.000 0.500
In 0.000 0.000 0.500

---

CrInMo2: optimized geometry, GGA-PBE.

Values from the calculation:
ρ: 8.646 Mg/m³
calculated formation energy: 0.459 eV/atom
SG: R3m
crystal system: trigonal
total DFT energy (no corrections): -0.2957 Ha/atom

Lattice parameters (Å, degrees): 8.794 8.794 8.794 19.90 19.90 19.90
Fractional coordinates of all 4 atoms:
Cr 0.000 0.000 0.000
In 0.243 0.243 0.243
Mo 0.483 0.483 0.483
Mo 0.741 0.741 0.741

---

So what do the calculations give for size of the total moment? Going down the list: 0.00 4.15 7.56 2.86 3.65 2.27 0.10 15.62 7.30 0.30 9.14 2.33 μB/cell.